1.
{"formula": "KGaSb2Te", "functional": "PBE", "state": "optimized geometry", "magnetic_moment_mub_per_fu": 0.00, "spacegroup": "P4/mmm", "de_polymorph_mev_per_atom": 913, "lattice": [[5.9184, 0.0000, 0.0000], [0.0000, 5.9184, 0.0000], [0.0000, 0.0000, 6.0213]], "species": ["Sb", "Sb", "K", "Te", "Ga"], "fractional_positions": [[0.0000, 0.5000, 0.0000], [0.5000, 0.0000, 0.0000], [0.0000, 0.0000, 0.0000], [0.0000, 0.0000, 0.5000], [0.5000, 0.5000, 0.5000]]}

=====

2.
{"formula": "KGaSbTe3", "functional": "PBE", "state": "optimized geometry", "magnetic_moment_mub_per_fu": 0.00, "spacegroup": "P2_1/m", "e_tot_ev_per_atom": -3.353, "lattice": [[-0.5617, 1.4809, 4.4001], [-5.5558, -7.5095, 1.8181], [9.6847, -3.4200, 2.3874]], "species": ["K", "K", "Ga", "Ga", "Sb", "Sb", "Te", "Te", "Te", "Te", "Te", "Te"], "fractional_positions": [[0.2500, 0.1946, 0.2343], [0.7500, 0.8054, 0.7657], [0.2500, 0.0849, 0.6089], [0.7500, 0.9151, 0.3911], [0.2500, 0.6623, 0.1323], [0.7500, 0.3377, 0.8677], [0.7500, 0.8850, 0.1297], [0.2500, 0.1150, 0.8703], [0.2500, 0.7963, 0.4611], [0.7500, 0.2037, 0.5389], [0.7500, 0.4551, 0.1570], [0.2500, 0.5449, 0.8430]]}

=====

Question: Which formula does entry 2 have?
Answer: KGaSbTe3